Entry from Alexandria: CaCoAs2 after structural relaxation (PBE-GGA).

```
data_CaCoAs2
_space_group_name_H-M_alt 'P 1'
_space_group_IT_number 1
_cell_length_a 5.618
_cell_length_b 5.618
_cell_length_c 4.743
_cell_angle_alpha 73.89
_cell_angle_beta 73.89
_cell_angle_gamma 36.10
loop_
_space_group_symop_operation_xyz
'x,y,z'
loop_
_atom_site_label
_atom_site_type_symbol
_atom_site_fract_x
_atom_site_fract_y
_atom_site_fract_z
As1 As 0.954 0.954 0.027
As2 As 0.728 0.728 0.870
Co1 Co 0.294 0.294 0.110
Ca1 Ca 0.524 0.524 0.493
```

Values from the calculation:
- DFT formation energy: -0.300 eV/atom
- N(E_F): 2.28 states/eV per cell
- Crystal system: monoclinic
- SG: No. 8